[1]
An optimized crystal structure of Ce5Th4Sc2. Source: Alexandria via LeMat-Bulk, functional PBE.

Lattice parameters (Å, degrees): 3.461 11.265 8.385 104.43 89.99 98.85
Sites, in units of the cell vectors:
Sc1 0.773 0.544 0.176
Ce1 0.957 0.916 0.642
Ce2 0.590 0.178 0.720
Sc2 0.227 0.456 0.824
Th1 0.681 0.362 0.459
Th2 0.863 0.727 0.911
Ce3 0.410 0.822 0.280
Ce4 0.500 0.000 0.000
Th3 0.319 0.638 0.541
Ce5 0.043 0.084 0.358
Th4 0.137 0.273 0.089

Results
E_form (eV per atom): 0.033
Total magnetic moment (Bohr magnetons per cell): 0.00
Calculated volume (Å³/atom): 28.420
D(E_F) (states/eV per cell): 21.95

[2]
An optimized crystal structure of CsCrCl3. Source: Alexandria via LeMat-Bulk, functional PBE.

Lattice parameters (Å, degrees): 4.120 9.338 15.319 90.00 90.00 90.00
Each line ends with the local moment (μB).
Sites, in units of the cell vectors:
Cl1 0.750 0.244 0.313  -0.01
Cl2 0.250 0.530 0.410  -0.01
Cr1 0.250 0.157 0.954  3.64
Cs1 0.750 0.061 0.671  0.00
Cl3 0.250 0.256 0.813  -0.01
Cl4 0.750 0.970 0.910  -0.01
Cl5 0.750 0.744 0.187  -0.01
Cs2 0.250 0.439 0.171  0.00
Cl6 0.750 0.302 0.000  0.00
Cs3 0.750 0.561 0.829  0.00
Cl7 0.250 0.198 0.500  0.00
Cl8 0.750 0.470 0.590  -0.01
Cl9 0.250 0.756 0.687  -0.01
Cr2 0.750 0.843 0.046  3.64
Cl10 0.750 0.802 0.500  0.00
Cr3 0.750 0.343 0.454  3.64
Cl11 0.250 0.030 0.090  -0.01
Cr4 0.250 0.657 0.546  3.64
Cl12 0.250 0.698 0.000  0.00
Cs4 0.250 0.939 0.329  0.00

Results
Energy above the lowest structure with this stoichiometry (eV/atom): 0.050
Total magnetic moment (Bohr magnetons per cell): 16.00
Calculated volume (Å³/atom): 29.465
Formation energy without anion corrections (meV per atom): -1349
D(E_F) (states/eV per cell): 6.64

[3]
An optimized crystal structure of CsScNb3. Source: Alexandria via LeMat-Bulk, functional PBE.

Lattice parameters (Å, degrees): 5.104 5.104 5.104 90.00 90.00 90.00
Sites, in units of the cell vectors:
Cs1 0.500 0.500 0.500
Nb1 0.000 0.500 0.000
Nb2 0.500 0.000 0.000
Nb3 0.000 0.000 0.500
Sc1 0.000 0.000 0.000

Results
E_form (eV per atom): 2.001
Energy above the lowest structure with this stoichiometry (eV/atom): 0.000
Total magnetic moment (Bohr magnetons per cell): 0.00
Calculated volume (Å³/atom): 26.600
D(E_F) (states/eV per cell): 7.23

> Among the records above, which one has the lowest D(E_F)?

CsCrCl3

> Among the records above, which one has the highest total magnetic moment?

CsCrCl3

> Which formula does entry 1 have?

Ce5Th4Sc2

Copy entry 3 word for word.
An optimized crystal structure of CsScNb3. Source: Alexandria via LeMat-Bulk, functional PBE.

Lattice parameters (Å, degrees): 5.104 5.104 5.104 90.00 90.00 90.00
Sites, in units of the cell vectors:
Cs1 0.500 0.500 0.500
Nb1 0.000 0.500 0.000
Nb2 0.500 0.000 0.000
Nb3 0.000 0.000 0.500
Sc1 0.000 0.000 0.000

Results
E_form (eV per atom): 2.001
Energy above the lowest structure with this stoichiometry (eV/atom): 0.000
Total magnetic moment (Bohr magnetons per cell): 0.00
Calculated volume (Å³/atom): 26.600
D(E_F) (states/eV per cell): 7.23